Compound: Ba2SnBiP
Source: Alexandria via LeMat-Bulk
Functional: PBE
Structure: relaxed

Calculated values
Its total energy is -0.30817 Ry/atom. For the density of states at the Fermi level, the calculation gives 1.184 states/eV per cell. The calculation puts the formation energy at -765 meV/atom.

POSCAR file:
```
Ba2SnBiP
1.0
8.016 0.000 0.000
0.000 4.726 0.000
-3.582 0.000 10.482
Ba Sn Bi P
4 2 2 2
direct
0.220 0.250 0.480 Ba
0.233 0.250 0.882 Ba
0.767 0.750 0.118 Ba
0.780 0.750 0.520 Ba
0.499 0.750 0.699 Sn
0.501 0.250 0.301 Sn
0.296 0.750 0.153 Bi
0.704 0.250 0.847 Bi
0.173 0.750 0.679 P
0.827 0.250 0.321 P
```

Compound: Ba2Sr5Bi3P2
Source: Alexandria via LeMat-Bulk
Functional: PBE
Structure: relaxed

Calculated values
Its total energy is -0.28036 Ry/atom. For the density of states at the Fermi level, the calculation gives 5.636 states/eV per cell. The calculation puts the formation energy at -921 meV/atom.

POSCAR file:
```
Ba2Sr5Bi3P2
1.0
-2.865 2.865 14.875
2.865 -2.865 14.875
2.865 2.865 -14.875
Ba Sr Bi P
2 5 3 2
direct
0.204 0.204 0.000 Ba
0.796 0.796 0.000 Ba
0.000 0.000 0.000 Sr
0.097 0.597 0.500 Sr
0.403 0.903 0.500 Sr
0.597 0.097 0.500 Sr
0.903 0.403 0.500 Sr
0.325 0.325 0.000 Bi
0.500 0.500 0.000 Bi
0.675 0.675 0.000 Bi
0.098 0.098 0.000 P
0.902 0.902 0.000 P
```